Record 1
HoPaTeOs, relaxed, DFT PBE-GGA; uncorrected formation energy = -0.681 eV per atom; space group = No. 160; calculated volume = 26.5 Å³/atom; size of the total moment = 0.0 μB/cell
1.0
4.065 0.000 0.000
-2.032 3.520 0.000
0.000 0.000 22.257
Ho Pa Te Os
3 3 3 3
Direct
0.000 0.000 0.000 Ho
0.333 0.667 0.667 Ho
0.667 0.333 0.333 Ho
0.000 0.000 0.199 Pa
0.333 0.667 0.866 Pa
0.667 0.333 0.532 Pa
0.000 0.000 0.765 Te
0.333 0.667 0.432 Te
0.667 0.333 0.099 Te
0.000 0.000 0.592 Os
0.333 0.667 0.259 Os
0.667 0.333 0.926 Os

***

Record 2
Ho6OsPb3, relaxed, DFT PBE-GGA; space group = No. 14; calculated volume = 29.1 Å³/atom; size of the total moment = 0.0 μB/cell; calculated formation energy = -325 meV per atom
1.0
6.123 0.000 0.000
0.000 8.747 0.000
-5.803 0.000 10.860
Ho Os Pb
12 2 6
Direct
0.061 0.155 0.441 Ho
0.061 0.345 0.941 Ho
0.338 0.704 0.436 Ho
0.338 0.796 0.936 Ho
0.404 0.050 0.269 Ho
0.404 0.450 0.769 Ho
0.596 0.550 0.231 Ho
0.596 0.950 0.731 Ho
0.662 0.204 0.064 Ho
0.662 0.296 0.564 Ho
0.939 0.655 0.059 Ho
0.939 0.845 0.559 Ho
0.500 0.000 0.500 Os
0.500 0.500 0.000 Os
0.000 0.000 0.000 Pb
0.000 0.500 0.500 Pb
0.163 0.113 0.765 Pb
0.163 0.387 0.265 Pb
0.837 0.613 0.735 Pb
0.837 0.887 0.235 Pb

***

Record 3
Ho2OsPb, relaxed, DFT PBE-GGA; space group = No. 123; calculated volume = 24.3 Å³/atom; ΔE to the lowest computed polymorph = 0.000 eV per atom; size of the total moment = 0.0 μB/cell; calculated formation energy = -390 meV per atom
1.0
3.388 0.000 0.000
0.000 3.388 0.000
0.000 0.000 8.450
Ho Os Pb
2 1 1
Direct
0.000 0.000 0.196 Ho
0.000 0.000 0.804 Ho
0.500 0.500 0.000 Os
0.500 0.500 0.500 Pb

***

Record 4
Ho3OsPb, relaxed, DFT PBE-GGA; space group = No. 12; calculated volume = 27.1 Å³/atom; size of the total moment = 0.0 μB/cell; calculated formation energy = -286 meV per atom
1.0
7.118 -2.317 0.000
7.118 2.317 0.000
-5.484 0.000 8.202
Ho Os Pb
6 2 2
Direct
0.093 0.093 0.439 Ho
0.355 0.355 0.775 Ho
0.357 0.357 0.224 Ho
0.643 0.643 0.776 Ho
0.645 0.645 0.225 Ho
0.907 0.907 0.561 Ho
0.282 0.282 0.426 Os
0.718 0.718 0.574 Os
0.091 0.091 0.951 Pb
0.909 0.909 0.049 Pb

***

Record 5
Ho8OsPb2, relaxed, DFT PBE-GGA; space group = No. 12; calculated volume = 28.3 Å³/atom; size of the total moment = 0.0 μB/cell; calculated formation energy = -261 meV per atom
1.0
9.691 -2.519 0.000
9.691 2.519 0.000
-1.921 0.000 6.376
Ho Os Pb
8 1 2
Direct
0.020 0.020 0.290 Ho
0.217 0.217 0.823 Ho
0.357 0.357 0.500 Ho
0.413 0.413 0.050 Ho
0.587 0.587 0.950 Ho
0.643 0.643 0.500 Ho
0.783 0.783 0.177 Ho
0.980 0.980 0.710 Ho
0.500 0.500 0.500 Os
0.181 0.181 0.256 Pb
0.819 0.819 0.744 Pb

***

Record 6
Ho2OsPb, relaxed, DFT PBE-GGA; space group = No. 166; calculated volume = 25.1 Å³/atom; ΔE to the lowest computed polymorph = 0.291 eV per atom; size of the total moment = 0.0 μB/cell; calculated formation energy = -99 meV per atom
1.0
3.521 0.000 0.000
-1.760 3.049 0.000
0.000 0.000 28.051
Ho Os Pb
6 3 3
Direct
0.000 0.000 0.237 Ho
0.000 0.000 0.763 Ho
0.333 0.667 0.430 Ho
0.333 0.667 0.903 Ho
0.667 0.333 0.097 Ho
0.667 0.333 0.570 Ho
0.000 0.000 0.500 Os
0.333 0.667 0.167 Os
0.667 0.333 0.833 Os
0.000 0.000 0.000 Pb
0.333 0.667 0.667 Pb
0.667 0.333 0.333 Pb